<a>
Material: NaHg2Se2
Method: DFT, PBE-GGA
State: optimized geometry

```
data_NaHg2Se2
_space_group_name_H-M_alt 'I 4/m m m'
_space_group_IT_number 139
_space_group_name_Hall '-I 4 2'
_cell_length_a 4.2062
_cell_length_b 4.2062
_cell_length_c 15.1006
_cell_angle_alpha 90.00
_cell_angle_beta 90.00
_cell_angle_gamma 90.00
loop_
_atom_site_label
_atom_site_fract_x
_atom_site_fract_y
_atom_site_fract_z
Na1 0.0000 0.0000 0.0000
Hg1 0.0000 0.5000 0.2500
Se1 0.0000 0.0000 0.4200
```

Results
Magnetic moment = 0.00 μB per formula unit
Fermi-level density of states = 6.33 states/eV per cell

=====

<b>
Material: NaHg2Se2
Method: DFT, PBE-GGA
State: optimized geometry

```
data_NaHg2Se2
_space_group_name_H-M_alt 'I 4/m m m'
_space_group_IT_number 139
_space_group_name_Hall '-I 4 2'
_cell_length_a 5.3844
_cell_length_b 5.3844
_cell_length_c 9.4130
_cell_angle_alpha 90.00
_cell_angle_beta 90.00
_cell_angle_gamma 90.00
loop_
_atom_site_label
_atom_site_fract_x
_atom_site_fract_y
_atom_site_fract_z
Na1 0.0000 0.0000 0.0000
Hg1 0.0000 0.0000 0.3500
Se1 0.0000 0.5000 0.2500
```

Results
Magnetic moment = 0.00 μB per formula unit
Fermi-level density of states = 7.19 states/eV per cell

=====

<c>
Material: NaHg2Se2
Method: DFT, PBE-GGA
State: optimized geometry

```
data_NaHg2Se2
_space_group_name_H-M_alt 'P 4/m b m'
_space_group_IT_number 127
_space_group_name_Hall '-P 4 2ab'
_cell_length_a 8.0325
_cell_length_b 8.0325
_cell_length_c 4.0032
_cell_angle_alpha 90.00
_cell_angle_beta 90.00
_cell_angle_gamma 90.00
loop_
_atom_site_label
_atom_site_fract_x
_atom_site_fract_y
_atom_site_fract_z
Na1 0.0000 0.0000 0.0000
Hg1 0.1258 0.3742 0.5000
Se1 0.2052 0.7052 0.0000
```

Results
Magnetic moment = 0.00 μB per formula unit
Fermi-level density of states = 2.99 states/eV per cell

=====

<c> takes first place; second place is 14 meV per atom up.

=====

<a>
Material: Na2Hg2Se3
Method: DFT, PBE-GGA
State: optimized geometry

```
data_Na2Hg2Se3
_space_group_name_H-M_alt 'C 1 2/c 1'
_space_group_IT_number 15
_space_group_name_Hall '-C 2yc'
_cell_length_a 16.0753
_cell_length_b 14.4081
_cell_length_c 7.7151
_cell_angle_alpha 90.00
_cell_angle_beta 118.67
_cell_angle_gamma 90.00
loop_
_atom_site_label
_atom_site_fract_x
_atom_site_fract_y
_atom_site_fract_z
Na1 0.0000 0.0779 0.2500
Na2 0.0000 0.2232 0.7500
Na3 0.1165 0.4184 0.6694
Hg1 0.1674 0.2354 0.2504
Hg2 0.2092 0.0770 0.8045
Se1 0.1041 0.3900 0.0328
Se2 0.1296 0.2270 0.5567
Se3 0.1324 0.0718 0.0540
```

Results
Magnetic moment = 0.00 μB per formula unit

=====

<b>
Material: Na2Hg2Se3
Method: DFT, PBE-GGA
State: optimized geometry

```
data_Na2Hg2Se3
_space_group_name_H-M_alt 'C 1 2/m 1'
_space_group_IT_number 12
_space_group_name_Hall '-C 2y'
_cell_length_a 14.3762
_cell_length_b 4.3511
_cell_length_c 7.2136
_cell_angle_alpha 90.00
_cell_angle_beta 111.68
_cell_angle_gamma 90.00
loop_
_atom_site_label
_atom_site_fract_x
_atom_site_fract_y
_atom_site_fract_z
Na1 0.1039 0.0000 0.3788
Hg1 0.1758 0.5000 0.8084
Se1 0.0000 0.5000 0.5000
Se2 0.2056 0.5000 0.2049
```

Results
Magnetic moment = 0.00 μB per formula unit
Fermi-level density of states = 0.08 states/eV per cell

=====

<a> takes first place; second place is 42 meV per atom up.

=====

<a>
Material: Na5Hg2Se4
Method: DFT, PBE-GGA
State: optimized geometry

```
data_Na5Hg2Se4
_space_group_name_H-M_alt 'C 1 2/m 1'
_space_group_IT_number 12
_space_group_name_Hall '-C 2y'
_cell_length_a 17.3077
_cell_length_b 4.5019
_cell_length_c 8.6028
_cell_angle_alpha 90.00
_cell_angle_beta 109.04
_cell_angle_gamma 90.00
loop_
_atom_site_label
_atom_site_fract_x
_atom_site_fract_y
_atom_site_fract_z
Na1 0.0000 0.0000 0.0000
Na2 0.1628 0.5000 0.4768
Na3 0.1794 0.5000 0.9099
Hg1 0.0586 0.0000 0.6556
Se1 0.0014 0.5000 0.7817
Se2 0.2236 0.0000 0.7310
```

Results
Magnetic moment = 0.00 μB per formula unit
Fermi-level density of states = 4.76 states/eV per cell

=====

<b>
Material: Na5Hg2Se4
Method: DFT, PBE-GGA
State: optimized geometry

```
data_Na5Hg2Se4
_space_group_name_H-M_alt 'C 1 2/m 1'
_space_group_IT_number 12
_space_group_name_Hall '-C 2y'
_cell_length_a 22.1042
_cell_length_b 4.6112
_cell_length_c 6.0809
_cell_angle_alpha 90.00
_cell_angle_beta 94.04
_cell_angle_gamma 90.00
loop_
_atom_site_label
_atom_site_fract_x
_atom_site_fract_y
_atom_site_fract_z
Na1 0.0000 0.0000 0.0000
Na2 0.1294 0.5000 0.5093
Na3 0.2284 0.0000 0.2178
Hg1 0.1207 0.5000 0.9997
Se1 0.0085 0.5000 0.3056
Se2 0.1895 0.0000 0.7195
```

Results
Magnetic moment = 0.00 μB per formula unit
Fermi-level density of states = 6.52 states/eV per cell

=====

<a> takes first place; second place is 101 meV per atom up.

=====

<a>
Material: Na2HgSe
Method: DFT, PBE-GGA
State: optimized geometry

```
data_Na2HgSe
_space_group_name_H-M_alt 'R 3 m'
_space_group_IT_number 160
_space_group_name_Hall 'R 3 -2"'
_cell_length_a 4.6488
_cell_length_b 4.6488
_cell_length_c 20.4807
_cell_angle_alpha 90.00
_cell_angle_beta 90.00
_cell_angle_gamma 120.00
loop_
_atom_site_label
_atom_site_fract_x
_atom_site_fract_y
_atom_site_fract_z
Na1 0.0000 0.0000 0.0000
Na2 0.0000 0.0000 0.2325
Hg1 0.0000 0.0000 0.4445
Se1 0.0000 0.0000 0.6135
```

Results
Magnetic moment = 0.00 μB per formula unit

=====

<b>
Material: Na2HgSe
Method: DFT, PBE-GGA
State: optimized geometry

```
data_Na2HgSe
_space_group_name_H-M_alt 'P 4/m m m'
_space_group_IT_number 123
_space_group_name_Hall '-P 4 2'
_cell_length_a 5.0254
_cell_length_b 5.0254
_cell_length_c 3.9142
_cell_angle_alpha 90.00
_cell_angle_beta 90.00
_cell_angle_gamma 90.00
loop_
_atom_site_label
_atom_site_fract_x
_atom_site_fract_y
_atom_site_fract_z
Na1 0.0000 0.5000 0.0000
Hg1 0.0000 0.0000 0.5000
Se1 0.5000 0.5000 0.5000
```

Results
Magnetic moment = 0.00 μB per formula unit
Fermi-level density of states = 1.71 states/eV per cell

=====

<a> takes first place; second place is 89 meV per atom up.

=====

<a>
Material: Na3HgSe
Method: DFT, PBE-GGA
State: optimized geometry

```
data_Na3HgSe
_space_group_name_H-M_alt 'P 1 21/m 1'
_space_group_IT_number 11
_space_group_name_Hall '-P 2yb'
_cell_length_a 7.2620
_cell_length_b 4.4397
_cell_length_c 8.3295
_cell_angle_alpha 90.00
_cell_angle_beta 90.04
_cell_angle_gamma 90.00
loop_
_atom_site_label
_atom_site_fract_x
_atom_site_fract_y
_atom_site_fract_z
Na1 0.1999 0.2500 0.0570
Na2 0.1998 0.2500 0.4432
Na3 0.2494 0.7500 0.7505
Hg1 0.4593 0.7500 0.2503
Se1 0.0134 0.7500 0.2502
```

Results
Magnetic moment = 0.00 μB per formula unit
Fermi-level density of states = 2.54 states/eV per cell

=====

<b>
Material: Na3HgSe
Method: DFT, PBE-GGA
State: optimized geometry

```
data_Na3HgSe
_space_group_name_H-M_alt 'P m -3 m'
_space_group_IT_number 221
_space_group_name_Hall '-P 4 2 3'
_cell_length_a 5.5672
_cell_length_b 5.5672
_cell_length_c 5.5672
_cell_angle_alpha 90.00
_cell_angle_beta 90.00
_cell_angle_gamma 90.00
loop_
_atom_site_label
_atom_site_fract_x
_atom_site_fract_y
_atom_site_fract_z
Na1 0.0000 0.0000 0.5000
Hg1 0.5000 0.5000 0.5000
Se1 0.0000 0.0000 0.0000
```

Results
Magnetic moment = 0.00 μB per formula unit
Fermi-level density of states = 4.62 states/eV per cell

=====

<a> takes first place; second place is 65 meV per atom up.

=====

<a>
Material: NaSi3Hg
Method: DFT, PBE-GGA
State: optimized geometry

```
data_NaSi3Hg
_space_group_name_H-M_alt 'P m -3 m'
_space_group_IT_number 221
_space_group_name_Hall '-P 4 2 3'
_cell_length_a 5.1807
_cell_length_b 5.1807
_cell_length_c 5.1807
_cell_angle_alpha 90.00
_cell_angle_beta 90.00
_cell_angle_gamma 90.00
loop_
_atom_site_label
_atom_site_fract_x
_atom_site_fract_y
_atom_site_fract_z
Na1 0.0000 0.0000 0.0000
Si1 0.0000 0.5000 0.5000
Hg1 0.5000 0.5000 0.5000
```

Results
Magnetic moment = 0.00 μB per formula unit
Fermi-level density of states = 2.93 states/eV per cell

=====

<b>
Material: NaSi3Hg
Method: DFT, PBE-GGA
State: optimized geometry

```
data_NaSi3Hg
_space_group_name_H-M_alt 'P m -3 m'
_space_group_IT_number 221
_space_group_name_Hall '-P 4 2 3'
_cell_length_a 5.0136
_cell_length_b 5.0136
_cell_length_c 5.0136
_cell_angle_alpha 90.00
_cell_angle_beta 90.00
_cell_angle_gamma 90.00
loop_
_atom_site_label
_atom_site_fract_x
_atom_site_fract_y
_atom_site_fract_z
Na1 0.0000 0.0000 0.0000
Si1 0.0000 0.0000 0.5000
Hg1 0.5000 0.5000 0.5000
```

Results
Magnetic moment = 0.00 μB per formula unit
Fermi-level density of states = 5.06 states/eV per cell

=====

<a> takes first place; second place is 369 meV per atom up.

=====

<a>
Material: NaSiHg3
Method: DFT, PBE-GGA
State: optimized geometry

```
data_NaSiHg3
_space_group_name_H-M_alt 'P m -3 m'
_space_group_IT_number 221
_space_group_name_Hall '-P 4 2 3'
_cell_length_a 5.3979
_cell_length_b 5.3979
_cell_length_c 5.3979
_cell_angle_alpha 90.00
_cell_angle_beta 90.00
_cell_angle_gamma 90.00
loop_
_atom_site_label
_atom_site_fract_x
_atom_site_fract_y
_atom_site_fract_z
Na1 0.0000 0.0000 0.0000
Si1 0.5000 0.5000 0.5000
Hg1 0.0000 0.0000 0.5000
```

Results
Magnetic moment = 0.00 μB per formula unit
Fermi-level density of states = 4.98 states/eV per cell

=====

<b>
Material: NaSiHg3
Method: DFT, PBE-GGA
State: optimized geometry

```
data_NaSiHg3
_space_group_name_H-M_alt 'P m -3 m'
_space_group_IT_number 221
_space_group_name_Hall '-P 4 2 3'
_cell_length_a 5.2432
_cell_length_b 5.2432
_cell_length_c 5.2432
_cell_angle_alpha 90.00
_cell_angle_beta 90.00
_cell_angle_gamma 90.00
loop_
_atom_site_label
_atom_site_fract_x
_atom_site_fract_y
_atom_site_fract_z
Na1 0.0000 0.0000 0.0000
Si1 0.5000 0.5000 0.5000
Hg1 0.0000 0.5000 0.5000
```

Results
Magnetic moment = 0.00 μB per formula unit
Fermi-level density of states = 3.51 states/eV per cell

=====

<b> takes first place; second place is 627 meV per atom up.

=====

<a>
Material: NaSmHg
Method: DFT, PBE-GGA
State: optimized geometry

```
data_NaSmHg
_space_group_name_H-M_alt 'I 4 m m'
_space_group_IT_number 107
_space_group_name_Hall 'I 4 -2'
_cell_length_a 3.7200
_cell_length_b 3.7200
_cell_length_c 13.3207
_cell_angle_alpha 90.00
_cell_angle_beta 90.00
_cell_angle_gamma 90.00
loop_
_atom_site_label
_atom_site_fract_x
_atom_site_fract_y
_atom_site_fract_z
Na1 0.0000 0.0000 0.0000
Sm1 0.0000 0.0000 0.2800
Hg1 0.0000 0.0000 0.6517
```

Results
Magnetic moment = 0.18 μB per formula unit
Fermi-level density of states = 3.25 states/eV per cell

=====

<b>
Material: NaSmHg
Method: DFT, PBE-GGA
State: optimized geometry

```
data_NaSmHg
_space_group_name_H-M_alt 'P 3 m 1'
_space_group_IT_number 156
_space_group_name_Hall 'P 3 -2"'
_cell_length_a 5.2424
_cell_length_b 5.2424
_cell_length_c 3.3981
_cell_angle_alpha 90.00
_cell_angle_beta 90.00
_cell_angle_gamma 120.00
loop_
_atom_site_label
_atom_site_fract_x
_atom_site_fract_y
_atom_site_fract_z
Na1 0.0000 0.0000 0.0000
Sm1 0.6667 0.3333 0.5048
Hg1 0.3333 0.6667 0.0108
```

Results
Magnetic moment = 0.00 μB per formula unit
Fermi-level density of states = 2.85 states/eV per cell

=====

<a> takes first place; second place is 37 meV per atom up.

=====

<a>
Material: NaSm2Hg6
Method: DFT, PBE-GGA
State: optimized geometry

```
data_NaSm2Hg6
_space_group_name_H-M_alt 'P 6/m m m'
_space_group_IT_number 191
_space_group_name_Hall '-P 6 2'
_cell_length_a 8.7587
_cell_length_b 8.7587
_cell_length_c 3.3913
_cell_angle_alpha 90.00
_cell_angle_beta 90.00
_cell_angle_gamma 120.00
loop_
_atom_site_label
_atom_site_fract_x
_atom_site_fract_y
_atom_site_fract_z
Na1 0.0000 0.0000 0.0000
Sm1 0.3333 0.6667 0.0000
Hg1 0.0000 0.3313 0.5000
```

Results
Magnetic moment = 0.22 μB per formula unit
Fermi-level density of states = 4.87 states/eV per cell

=====

<b>
Material: NaSm2Hg6
Method: DFT, PBE-GGA
State: optimized geometry

```
data_NaSm2Hg6
_space_group_name_H-M_alt 'C 1 2/m 1'
_space_group_IT_number 12
_space_group_name_Hall '-C 2y'
_cell_length_a 11.9520
_cell_length_b 7.8954
_cell_length_c 4.8979
_cell_angle_alpha 90.00
_cell_angle_beta 90.08
_cell_angle_gamma 90.00
loop_
_atom_site_label
_atom_site_fract_x
_atom_site_fract_y
_atom_site_fract_z
Na1 0.0000 0.0000 0.0000
Sm1 0.2360 0.0000 0.4990
Hg1 0.0000 0.2435 0.5000
Hg2 0.1363 0.3160 0.0007
```

Results
Magnetic moment = 0.00 μB per formula unit
Fermi-level density of states = 15.01 states/eV per cell

=====

<a> takes first place; second place is 101 meV per atom up.

=====

<a>
Material: NaSm2Hg
Method: DFT, PBE-GGA
State: optimized geometry

```
data_NaSm2Hg
_space_group_name_H-M_alt 'F m -3 m'
_space_group_IT_number 225
_space_group_name_Hall '-F 4 2 3'
_cell_length_a 7.7004
_cell_length_b 7.7004
_cell_length_c 7.7004
_cell_angle_alpha 90.00
_cell_angle_beta 90.00
_cell_angle_gamma 90.00
loop_
_atom_site_label
_atom_site_fract_x
_atom_site_fract_y
_atom_site_fract_z
Na1 0.0000 0.0000 0.0000
Sm1 0.2500 0.2500 0.2500
Hg1 0.0000 0.0000 0.5000
```

Results
Magnetic moment = 0.83 μB per formula unit
Fermi-level density of states = 19.22 states/eV per cell

=====

<b>
Material: NaSm2Hg
Method: DFT, PBE-GGA
State: optimized geometry

```
data_NaSm2Hg
_space_group_name_H-M_alt 'P 4/m m m'
_space_group_IT_number 123
_space_group_name_Hall '-P 4 2'
_cell_length_a 5.3466
_cell_length_b 5.3466
_cell_length_c 4.0110
_cell_angle_alpha 90.00
_cell_angle_beta 90.00
_cell_angle_gamma 90.00
loop_
_atom_site_label
_atom_site_fract_x
_atom_site_fract_y
_atom_site_fract_z
Na1 0.0000 0.0000 0.0000
Sm1 0.0000 0.5000 0.5000
Hg1 0.5000 0.5000 0.0000
```

Results
Magnetic moment = 0.00 μB per formula unit
Fermi-level density of states = 4.26 states/eV per cell

=====

<c>
Material: NaSm2Hg
Method: DFT, PBE-GGA
State: optimized geometry

```
data_NaSm2Hg
_space_group_name_H-M_alt 'R -3 m'
_space_group_IT_number 166
_space_group_name_Hall '-R 3 2"'
_cell_length_a 3.5799
_cell_length_b 3.5799
_cell_length_c 36.3102
_cell_angle_alpha 90.00
_cell_angle_beta 90.00
_cell_angle_gamma 120.00
loop_
_atom_site_label
_atom_site_fract_x
_atom_site_fract_y
_atom_site_fract_z
Na1 0.0000 0.0000 0.0000
Sm1 0.0000 0.0000 0.0990
Hg1 0.0000 0.0000 0.5000
```

Results
Magnetic moment = 0.00 μB per formula unit
Fermi-level density of states = 14.65 states/eV per cell

=====

<b> takes first place; second place is 8 meV per atom up.

=====

<a>
Material: NaSm2Hg3
Method: DFT, PBE-GGA
State: optimized geometry

```
data_NaSm2Hg3
_space_group_name_H-M_alt 'P -3 m 1'
_space_group_IT_number 164
_space_group_name_Hall '-P 3 2"'
_cell_length_a 5.2949
_cell_length_b 5.2949
_cell_length_c 12.9655
_cell_angle_alpha 90.00
_cell_angle_beta 90.00
_cell_angle_gamma 120.00
loop_
_atom_site_label
_atom_site_fract_x
_atom_site_fract_y
_atom_site_fract_z
Na1 0.3333 0.6667 0.1659
Sm1 0.0000 0.0000 0.0000
Sm2 0.0000 0.0000 0.5000
Sm3 0.3333 0.6667 0.6769
Hg1 0.0000 0.0000 0.2488
Hg2 0.3333 0.6667 0.4174
Hg3 0.3333 0.6667 0.9215
```

Results
Magnetic moment = 0.00 μB per formula unit
Fermi-level density of states = 9.33 states/eV per cell

=====

<b>
Material: NaSm2Hg3
Method: DFT, PBE-GGA
State: optimized geometry

```
data_NaSm2Hg3
_space_group_name_H-M_alt 'P 4/m m m'
_space_group_IT_number 123
_space_group_name_Hall '-P 4 2'
_cell_length_a 3.7556
_cell_length_b 3.7556
_cell_length_c 11.5143
_cell_angle_alpha 90.00
_cell_angle_beta 90.00
_cell_angle_gamma 90.00
loop_
_atom_site_label
_atom_site_fract_x
_atom_site_fract_y
_atom_site_fract_z
Na1 0.0000 0.0000 0.0000
Sm1 0.0000 0.0000 0.3328
Hg1 0.5000 0.5000 0.1740
Hg2 0.5000 0.5000 0.5000
```

Results
Magnetic moment = 0.01 μB per formula unit
Fermi-level density of states = 4.45 states/eV per cell

=====

<a> takes first place; second place is 16 meV per atom up.